# SbMo2Pb PBE-GGA relaxed
data_SbMo2Pb
_cell_length_a 10.8244
_cell_length_b 10.8244
_cell_length_c 10.8244
_cell_angle_alpha 16.87
_cell_angle_beta 16.87
_cell_angle_gamma 16.87
_space_group_name_H-M_alt 'P 1'
_space_group_IT_number 1
_space_group_name_Hall 'P 1'
loop_
_atom_site_label
_atom_site_type_symbol
_atom_site_fract_x
_atom_site_fract_y
_atom_site_fract_z
Sb1 Sb 0.0000 0.0000 0.0000
Mo1 Mo 0.2614 0.2614 0.2614
Mo2 Mo 0.5382 0.5382 0.5382
Pb1 Pb 0.7902 0.7902 0.7902
# **Relative energy among the computed polymorphs**: 0.57 eV per formula unit
# **Symmetry**: No. 160
# **Magnetization**: 0.00 Bohr magnetons per cell
# **Formation energy from raw total energies**: 1.4 eV per formula unit